Below is PtW2Cl after structural relaxation, with properties calculated at the PBE-GGA level.

Unit cell a=4.257 b=4.257 c=8.669 alpha=75.79 beta=75.79 gamma=90.00
Fractional coordinates of all 8 atoms:
W 0.375 0.424 0.750
W 0.576 0.125 0.250
Pt 0.000 0.000 0.000
Cl 0.250 0.750 0.500
Pt 0.750 0.250 0.500
W 0.875 0.826 0.750
Cl 0.500 0.500 0.000
W 0.174 0.625 0.250

Output
**Energy relative to the lowest polymorph listed for this composition**: 0.885 eV/atom
**Final energy**: -59.15 eV for the cell shown
**Formation energy (no corrections)**: 1055 meV per atom

---

Below is PtW2Cl after structural relaxation, with properties calculated at the PBE-GGA level.

Unit cell a=2.890 b=2.890 c=9.242 alpha=90.00 beta=90.00 gamma=121.68
Fractional coordinates of all 4 atoms:
Pt 0.500 0.500 0.750
W 0.000 0.000 0.003
Cl 0.500 0.500 0.250
W 0.000 0.000 0.497

Output
**Energy relative to the lowest polymorph listed for this composition**: 0.452 eV/atom
**Final energy**: -31.30 eV for the cell shown
**Formation energy (no corrections)**: 623 meV per atom

---

Below is PtWCl3 after structural relaxation, with properties calculated at the PBE-GGA level.

Unit cell a=4.888 b=4.888 c=4.888 alpha=90.00 beta=90.00 gamma=90.00
Fractional coordinates of all 5 atoms:
Pt 0.000 0.000 0.000
Cl 0.000 0.500 0.000
W 0.500 0.500 0.500
Cl 0.500 0.000 0.000
Cl 0.000 0.000 0.500

Output
**Energy relative to the lowest polymorph listed for this composition**: 0.323 eV/atom
**Final energy**: -19.23 eV for the cell shown
**Formation energy (no corrections)**: 1060 meV per atom

---

Below is PtW2Cl after structural relaxation, with properties calculated at the PBE-GGA level.

Unit cell a=3.973 b=2.825 c=5.897 alpha=89.90 beta=90.00 gamma=90.00
Fractional coordinates of all 4 atoms:
W 0.000 0.249 0.975
W 0.000 0.251 0.525
Cl 0.500 0.250 0.250
Pt 0.500 0.750 0.750

Output
**Energy relative to the lowest polymorph listed for this composition**: 0.269 eV/atom
**Final energy**: -32.04 eV for the cell shown
**Formation energy (no corrections)**: 439 meV per atom

---

Below is PtW2Cl after structural relaxation, with properties calculated at the PBE-GGA level.

Unit cell a=2.860 b=2.860 c=8.966 alpha=90.00 beta=90.00 gamma=90.00
Fractional coordinates of all 4 atoms:
Pt 0.500 0.500 0.814
W 0.500 0.500 0.240
Cl 0.000 0.000 0.429
W 0.000 0.000 0.016

Output
**Energy relative to the lowest polymorph listed for this composition**: 0.024 eV/atom
**Final energy**: -33.02 eV for the cell shown
**Formation energy (no corrections)**: 194 meV per atom

---

Below is Pt2WCl after structural relaxation, with properties calculated at the PBE-GGA level.

Unit cell a=2.819 b=4.608 c=4.990 alpha=90.00 beta=90.00 gamma=90.00
Fractional coordinates of all 4 atoms:
Pt 0.000 0.000 0.000
Pt 0.500 0.500 0.000
Cl 0.000 0.500 0.500
W 0.500 0.000 0.500

Output
**Energy relative to the lowest polymorph listed for this composition**: 0.725 eV/atom
**Final energy**: -24.28 eV for the cell shown
**Formation energy (no corrections)**: 649 meV per atom